Record 1
Below is AlV5C2 after structural relaxation, with properties calculated at the PBE level.

ΔE_f ... -0.36 eV per atom
Magnetization ... 0.00 μB per formula unit
Symmetry ... No. 71
E_tot ... -8.83 eV per atom

Unit cell a=3.065 b=5.465 c=6.375 alpha=115.38 beta=103.91 gamma=90.00
Positions (direct):
Al1 0.000 0.000 0.000
V1 0.000 0.500 0.000
V2 0.654 0.409 0.309
V3 0.346 0.591 0.691
V4 0.654 0.899 0.309
V5 0.346 0.101 0.691
C1 0.196 0.696 0.392
C2 0.804 0.304 0.608



Record 2
Below is Al2V4C after structural relaxation, with properties calculated at the PBE level.

ΔE_f ... -0.07 eV per atom
Magnetization ... 0.84 μB per formula unit
Symmetry ... No. 139
E_tot ... -7.67 eV per atom

Unit cell a=3.886 b=3.886 c=7.173 alpha=74.28 beta=74.28 gamma=90.00
Site moments in Bohr magnetons follow the coordinates.
Positions (direct):
C1 0.000 0.000 0.000  -0.01
Al1 0.354 0.354 0.293  -0.01
Al2 0.646 0.646 0.707  -0.01
V1 0.153 0.153 0.695  0.38
V2 0.847 0.847 0.305  0.38
V3 0.000 0.500 0.000  0.01
V4 0.500 0.000 0.000  0.01



Record 3
Below is Al3V12C8 after structural relaxation, with properties calculated at the PBE level.

ΔE_f ... -0.54 eV per atom
Magnetization ... 0.00 μB per formula unit
Symmetry ... No. 193
E_tot ... -9.00 eV per atom

Unit cell a=5.066 b=5.066 c=22.682 alpha=90.00 beta=90.00 gamma=120.00
Positions (direct):
Al1 0.329 0.000 0.750
Al2 0.671 0.000 0.250
Al3 0.000 0.329 0.750
Al4 0.000 0.671 0.250
Al5 0.671 0.671 0.750
Al6 0.329 0.329 0.250
V1 0.355 0.000 0.555
V2 0.645 0.000 0.445
V3 0.000 0.355 0.555
V4 0.645 0.000 0.055
V5 0.000 0.355 0.945
V6 0.000 0.645 0.445
V7 0.355 0.000 0.945
V8 0.000 0.645 0.055
V9 0.645 0.645 0.555
V10 0.355 0.355 0.445
V11 0.355 0.355 0.055
V12 0.645 0.645 0.945
V13 0.000 0.000 0.653
V14 0.000 0.000 0.347
V15 0.000 0.000 0.153
V16 0.000 0.000 0.847
V17 0.333 0.667 0.656
V18 0.667 0.333 0.344
V19 0.667 0.333 0.156
V20 0.667 0.333 0.844
V21 0.333 0.667 0.844
V22 0.333 0.667 0.156
V23 0.333 0.667 0.344
V24 0.667 0.333 0.656
C1 0.668 0.000 0.607
C2 0.332 0.000 0.393
C3 0.000 0.668 0.607
C4 0.332 0.000 0.107
C5 0.000 0.668 0.893
C6 0.000 0.332 0.393
C7 0.668 0.000 0.893
C8 0.000 0.332 0.107
C9 0.332 0.332 0.607
C10 0.668 0.668 0.393
C11 0.668 0.668 0.107
C12 0.332 0.332 0.893
C13 0.333 0.667 0.500
C14 0.667 0.333 0.500
C15 0.667 0.333 0.000
C16 0.333 0.667 0.000



Record 4
Below is AlV11C5 after structural relaxation, with properties calculated at the PBE level.

ΔE_f ... -0.25 eV per atom
Magnetization ... 0.00 μB per formula unit
Symmetry ... No. 12
E_tot ... -9.08 eV per atom

Unit cell a=5.243 b=6.411 c=6.411 alpha=102.99 beta=105.31 gamma=105.31
Positions (direct):
Al1 0.000 0.000 0.000
V1 0.403 0.675 0.675
V2 0.597 0.325 0.325
V3 0.703 0.143 0.701
V4 0.297 0.857 0.299
V5 0.297 0.299 0.857
V6 0.703 0.701 0.143
V7 0.500 0.000 0.000
V8 0.903 0.810 0.557
V9 0.097 0.190 0.443
V10 0.097 0.443 0.190
V11 0.903 0.557 0.810
C1 0.696 0.015 0.364
C2 0.304 0.985 0.636
C3 0.304 0.636 0.985
C4 0.696 0.364 0.015
C5 0.000 0.500 0.500